Entry 1:
Here is a relaxed ScReAg2 crystal from Alexandria. Energies are from PBE-GGA.

```
ScReAg2
1.0
-3.622 3.398 -1.532
-4.357 -2.221 -1.757
2.913 -0.553 4.268
Ag Sc Re
2 1 1
Direct
0.000 0.000 0.000
0.500 0.500 0.000
0.750 0.250 0.500
0.250 0.750 0.500
```

Calculated values
space group = I4/mmm (139)
total energy = -23.07 eV/cell
V = 17.51 Å³ per atom
N(E_F) = 4.1 states/eV per cell
offset from the most stable computed form = 157 meV per atom

***

Entry 2:
Here is a relaxed Dy3SbSe2 crystal from Alexandria. Energies are from PBE-GGA.

```
Dy3SbSe2
1.0
-0.723 7.012 6.406
-3.765 -0.360 7.051
3.600 0.319 7.138
Se Dy Sb
4 6 2
Direct
0.245 0.959 0.959
0.755 0.041 0.041
0.663 0.541 0.541
0.337 0.459 0.459
0.000 0.273 0.727
0.500 0.500 0.000
0.500 0.227 0.773
0.500 0.773 0.227
0.500 0.000 0.500
0.000 0.727 0.273
0.220 0.250 0.250
0.780 0.750 0.750
```

Calculated values
space group = Imma (74)
total energy = -64.09 eV/cell
V = 30.88 Å³ per atom
N(E_F) = 8.3 states/eV per cell
ΔE_f (raw) = -1.19 eV/atom
offset from the most stable computed form = 356 meV per atom

***

Entry 3:
Here is a relaxed Pm7Y3 crystal from Alexandria. Energies are from PBE-GGA.

```
Pm7Y3
1.0
-4.907 -1.509 -0.111
2.031 -6.407 -2.704
1.763 2.234 10.472
Pm Y
7 3
Direct
0.600 0.400 0.200
0.400 0.600 0.800
0.000 0.500 0.000
0.400 0.100 0.799
0.600 0.900 0.201
0.800 0.700 0.600
0.200 0.300 0.400
0.000 0.000 0.000
0.800 0.200 0.599
0.200 0.800 0.401
```

Calculated values
space group = C2/m (12)
total energy = -52.51 eV/cell
V = 33.71 Å³ per atom
N(E_F) = 14.6 states/eV per cell
offset from the most stable computed form = 0 meV per atom

***

Entry 4:
Here is a relaxed CdOs crystal from Alexandria. Energies are from PBE-GGA.

```
CdOs
1.0
-3.159 -1.212 -6.689
-0.567 -7.304 1.591
-6.775 1.177 2.986
Cd Os
6 6
Direct
0.000 0.250 0.500
0.750 0.500 0.000
0.250 0.500 0.000
0.000 0.750 0.500
0.500 0.000 0.750
0.500 0.000 0.250
0.500 0.750 0.000
0.500 0.250 0.000
0.250 0.000 0.500
0.750 0.000 0.500
0.000 0.500 0.250
0.000 0.500 0.750
```

Calculated values
space group = Pm-3n (223)
total energy = -41.76 eV/cell
V = 35.11 Å³ per atom
N(E_F) = 11.3 states/eV per cell

***

- Look up the N(E_F) of the third one.
  14.6 states/eV per cell

***

- Which formula does entry 1 have?
  ScReAg2

***

- What is the formula in the fourth record?
  CdOs

***

- Which value of N(E_F) does entry 3 give?
  14.6 states/eV per cell